(1)
12
Lattice="-2.7974 5.1845 -4.3357 -0.7428 0.5181 7.2583 7.1154 1.6062 -0.6145" Properties=species:S:1:pos:R:3 comment="Tb3PbSe2, optimized geometry, DFT PBE" sg="No. 15" total_energy_ev_per_atom=-5.46 pbc="T T T"
Pb -0.1553 3.6255 0.3818
Pb 3.7305 3.6833 1.9263
Se -0.8465 5.1952 -3.5183
Se 0.5154 2.1022 4.1667
Se 3.0598 5.2066 -1.8586
Se 4.4217 2.1136 5.8264
Tb -1.3987 2.5923 -2.1679
Tb -2.8553 4.7740 1.2151
Tb 2.5127 2.5495 -0.6315
Tb 3.1863 1.0621 3.3219
Tb 1.0624 4.7593 2.9396
Tb 6.4305 2.5348 1.0930

---

(2)
12
Lattice="2.0875 -8.0208 0.0000 2.0875 8.0208 0.0000 0.0000 0.0000 11.8652" Properties=species:S:1:pos:R:3 comment="TbTlPbSe3, optimized geometry, DFT PBE" sg="No. 63" total_energy_ev_per_atom=-4.49 pbc="T T T"
Pb 2.0875 -1.9971 2.9663
Pb 2.0875 1.9971 8.8989
Se 2.0875 1.9665 0.0146
Se 2.0875 -8.0150 2.9663
Se 2.0875 1.9665 5.9180
Se 2.0875 -1.9665 5.9472
Se 2.0875 8.0150 8.8989
Se 2.0875 -1.9665 11.8506
Tb 0.0000 0.0000 0.0000
Tb 0.0000 0.0000 5.9326
Tl 2.0875 2.7408 2.9663
Tl 2.0875 -2.7408 8.8989

---

(3)
12
Lattice="-3.0773 -1.7215 -6.3460 1.2288 -1.9399 6.8871 -8.9552 4.9639 2.9960" Properties=species:S:1:pos:R:3 comment="TbZnPbSe3, optimized geometry, DFT PBE" sg="No. 63" total_energy_ev_per_atom=-4.28 pbc="T T T"
Pb -4.1211 -0.5412 -1.9247
Pb -6.6826 1.8436 5.4618
Se 0.1304 -1.6317 5.2200
Se -2.8042 -0.6079 2.1222
Se -3.3445 0.2944 6.3825
Se -7.4592 1.0080 -2.8454
Se -7.9994 1.9104 1.4149
Se -10.9340 2.9341 -1.6829
Tb -0.9242 -1.8307 0.2705
Tb -5.4018 0.6512 1.7685
Zn -1.1385 -0.6924 7.2412
Zn -9.6652 1.9949 -3.7041

---

(4)
12
Lattice="9.1178 -2.0739 0.0000 9.1178 2.0739 0.0000 -2.3071 0.0000 9.6628" Properties=species:S:1:pos:R:3 comment="TmTlPbSe3, optimized geometry, DFT PBE" e_above_lowest_polymorph_mev_per_atom=16 sg="No. 12" pbc="T T T"
Pb 8.3115 0.0000 2.7147
Pb 7.6171 0.0000 6.9481
Se 9.1178 0.0000 0.0000
Se 5.4690 0.0000 2.1860
Se 11.3486 0.0000 3.6542
Se -1.1536 0.0000 4.8314
Se 4.5799 0.0000 6.0086
Se 10.4596 0.0000 7.4769
Tl 2.4656 0.0000 0.6633
Tl 13.4630 0.0000 8.9995
Tm 14.0995 0.0000 4.0676
Tm 1.8291 0.0000 5.5953

---

(5)
12
Lattice="2.0549 -7.8958 0.0000 2.0549 7.8958 0.0000 0.0000 0.0000 11.6754" Properties=species:S:1:pos:R:3 comment="TmTlPbSe3, optimized geometry, DFT PBE" e_above_lowest_polymorph_mev_per_atom=74 sg="No. 63" pbc="T T T"
Pb 2.0549 1.9942 2.9188
Pb 2.0549 -1.9942 8.7565
Se 2.0549 -1.9318 0.0543
Se 2.0549 7.8850 2.9188
Se 2.0549 -1.9318 5.7834
Se 2.0549 1.9318 5.8920
Se 2.0549 -7.8850 8.7565
Se 2.0549 1.9318 11.6211
Tl 2.0549 -2.8752 2.9188
Tl 2.0549 2.8752 8.7565
Tm 0.0000 0.0000 0.0000
Tm 0.0000 0.0000 5.8377

---

(6)
24
Lattice="-14.1381 3.8968 -1.9634 -0.7705 -3.6696 -1.7352 -2.8351 -4.6728 11.1410" Properties=species:S:1:pos:R:3 comment="TmTlPbSe3, optimized geometry, DFT PBE" e_above_lowest_polymorph_mev_per_atom=0 sg="No. 62" pbc="T T T"
Pb -8.2673 0.7708 -0.4187
Pb -2.0572 -2.5932 3.9382
Pb -15.6865 -1.8525 3.5043
Pb -9.4763 -5.2165 7.8611
Se -1.7963 -0.6994 -0.1827
Se -10.2930 -1.1566 -0.3622
Se -6.6424 -0.4743 1.4929
Se -13.7416 1.4244 0.6296
Se -3.5166 -3.5873 1.7694
Se -10.0500 -0.7036 3.4908
Se -7.6937 -3.7421 3.9516
Se -14.2270 -0.8584 5.6730
Se -4.0021 -5.8701 6.8128
Se -11.1012 -3.9714 5.9496
Se -7.4506 -3.2891 7.8046
Se -15.9473 -3.7463 7.6251
Tl -4.5832 -2.1562 -0.7835
Tl -12.5417 -1.6739 1.7303
Tl -5.2019 -2.7718 5.7121
Tl -13.1605 -2.2895 8.2259
Tm -1.0181 -3.4137 0.2930
Tm -8.6908 -2.4604 1.6837
Tm -9.0528 -1.9853 5.7587
Tm -16.7255 -1.0320 7.1494